--- A ---
Compound: Zn2OsW
Source: Alexandria via LeMat-Bulk
Functional: GGA-PBE
Structure: relaxed

Cell lengths 4.3212, 4.3212, 4.3212 Å; angles 60.00, 60.00, 60.00 degrees
With the nearest neighbours (Å) after each atom.
Fractional coordinates of all 4 atoms:
Zn 0.2500 0.2500 0.2500  4 W 2.65, 4 Os 2.65
Zn 0.7500 0.7500 0.7500  4 W 2.65, 4 Os 2.65
Os 0.0000 0.0000 0.0000  8 Zn 2.65
W 0.5000 0.5000 0.5000  8 Zn 2.65

Values from the calculation:
Symmetry: Fm-3m
Size of the total moment, μB/f.u.: 0.00
DOS at the Fermi energy, states/eV/f.u.: 3.7

---

--- B ---
Compound: Zn2OsW
Source: Alexandria via LeMat-Bulk
Functional: GGA-PBE
Structure: relaxed

Cell lengths 5.1768, 5.1768, 2.6878 Å; angles 100.32, 100.32, 118.34 degrees
With the nearest neighbours (Å) after each atom.
Fractional coordinates of all 4 atoms:
Zn 0.0000 0.5000 0.0000  4 Zn 2.65-2.69, 2 W 2.69, 2 Os 2.69
Zn 0.5000 0.0000 0.0000  4 Zn 2.65-2.69, 2 W 2.69, 2 Os 2.69
Os 0.0000 0.0000 0.5000  2 W 2.65, 2 Os 2.69, 4 Zn 2.69
W 0.5000 0.5000 0.5000  2 Os 2.65, 2 W 2.69, 4 Zn 2.69

Values from the calculation:
Symmetry: C2/m
Size of the total moment, μB/f.u.: 0.00
DOS at the Fermi energy, states/eV/f.u.: 2.8

---

--- C ---
Compound: Zn2OsW
Source: Alexandria via LeMat-Bulk
Functional: GGA-PBE
Structure: relaxed

Cell lengths 4.9280, 4.9280, 2.7377 Å; angles 90.00, 90.00, 116.54 degrees
With the nearest neighbours (Å) after each atom.
Fractional coordinates of all 4 atoms:
Zn 0.0000 0.5000 0.0000  4 Zn 2.59-2.74, 4 W 2.82, 4 Os 2.82
Zn 0.5000 0.0000 0.0000  4 Zn 2.59-2.74, 4 W 2.82, 4 Os 2.82
Os 0.0000 0.0000 0.5000  2 W 2.59, 2 Os 2.74, 8 Zn 2.82
W 0.5000 0.5000 0.5000  2 Os 2.59, 2 W 2.74, 8 Zn 2.82

Values from the calculation:
Symmetry: Cmmm
Size of the total moment, μB/f.u.: 0.00
DOS at the Fermi energy, states/eV/f.u.: 4.2

---

Going by the computed energies, the most stable comes first: B, C, A.